[1]
GGA-PBE HfBeSi, optimized geometry; ρ = 8.13 Mg/m³; energy = -6.699 eV per atom; space group = Pnma
1.0
5.349 0.000 0.000
0.000 3.701 0.000
0.000 0.000 8.902
Be Hf Si
4 4 4
direct
0.189 0.750 0.206
0.689 0.750 0.294
0.311 0.250 0.706
0.811 0.250 0.794
0.877 0.250 0.116
0.377 0.250 0.384
0.623 0.750 0.616
0.123 0.750 0.884
0.374 0.250 0.074
0.874 0.250 0.426
0.126 0.750 0.574
0.626 0.750 0.926


[2]
GGA-PBE ZnCuPd2, optimized geometry; formation enthalpy at 0 K = -0.18 eV/atom; ρ = 9.48 Mg/m³; energy = -4.013 eV per atom; space group = P6_3/mmc
1.0
2.092 -3.624 0.000
2.092 3.624 0.000
0.000 0.000 7.900
Cu Pd Zn
2 4 2
direct
0.667 0.333 0.250
0.333 0.667 0.750
0.333 0.667 0.081
0.333 0.667 0.419
0.667 0.333 0.581
0.667 0.333 0.919
0.000 0.000 0.250
0.000 0.000 0.750


[3]
GGA-PBE NdDySi2, optimized geometry; ρ = 6.58 Mg/m³; energy = -5.838 eV per atom; space group = P2_1/m
1.0
5.819 0.000 0.000
0.000 3.889 0.000
-0.081 0.000 8.090
Dy Nd Si
2 2 4
direct
0.886 0.250 0.178
0.114 0.750 0.822
0.385 0.750 0.320
0.615 0.250 0.680
0.372 0.250 0.034
0.877 0.750 0.461
0.123 0.250 0.539
0.628 0.750 0.966


[4]
GGA-PBE DyHfAg6, optimized geometry; formation enthalpy at 0 K = -0.13 eV/atom; ρ = 10.75 Mg/m³; energy = -4.072 eV per atom; space group = Pmm2
1.0
-4.918 0.169 -0.184
-0.289 -2.218 5.696
0.093 4.717 1.842
Ag Dy Hf
6 1 1
direct
0.500 0.000 0.181
0.000 0.265 0.335
0.000 0.735 0.335
0.500 0.258 0.659
0.500 0.742 0.659
0.000 0.500 0.836
0.000 0.000 0.841
0.500 0.500 0.153


[5]
GGA-PBE AcHgPt, optimized geometry; formation enthalpy at 0 K = -0.77 eV/atom; ρ = 11.80 Mg/m³; energy = -4.257 eV per atom; space group = F-43m
1.0
1.732 3.718 2.834
-2.809 1.844 3.683
1.242 -0.858 4.751
Ac Hg Pt
1 1 1
direct
0.250 0.250 0.250
0.750 0.750 0.750
0.000 0.000 0.000


[6]
GGA-PBE SmMgZnAs2, optimized geometry; ρ = 5.81 Mg/m³; energy = -4.121 eV per atom; space group = P3m1
1.0
-0.274 -3.333 -2.673
1.931 -0.451 3.794
-6.125 -1.822 2.901
As Mg Sm Zn
2 1 1 1
direct
0.333 0.667 0.248
0.000 0.000 0.740
0.000 0.000 0.368
0.667 0.333 0.998
0.333 0.667 0.646


[7]
GGA-PBE TaCu2Au2, optimized geometry; formation enthalpy at 0 K = 0.45 eV/atom; ρ = 14.18 Mg/m³; energy = -4.714 eV per atom; space group = I4/mmm
1.0
3.270 3.513 4.126
2.637 5.709 -0.715
-5.226 -3.458 -0.886
Au Cu Ta
2 2 1
direct
0.750 0.250 0.500
0.250 0.750 0.500
0.403 0.403 0.000
0.597 0.597 0.000
0.000 0.000 0.000


[8]
GGA-PBE LiHfAl, optimized geometry; ρ = 5.25 Mg/m³; energy = -4.492 eV per atom; space group = F-43m
1.0
4.174 -0.825 1.647
1.553 2.374 3.573
0.492 -2.037 4.053
Al Hf Li
1 1 1
direct
0.250 0.250 0.250
0.000 0.000 0.000
0.750 0.750 0.750